## Mg2ScSi2 (PBE-GGA)

Data for a relaxed Mg2ScSi2 crystal.

Lattice parameters (Å, degrees): 7.852 7.852 2.997 90.00 90.00 90.00
Element x y z (fractional)
Sc  0.500  0.500  0.000
Sc  0.000  0.000  0.000
Si  0.324  0.176  0.500
Si  0.176  0.676  0.500
Si  0.824  0.324  0.500
Si  0.676  0.824  0.500
Mg  0.876  0.624  0.000
Mg  0.624  0.124  0.000
Mg  0.376  0.876  0.000
Mg  0.124  0.376  0.000

As for the space group: P4/mbm (127). The total energy comes out at -41.04 eV per cell. The density of states at the Fermi level is 3.0 states/eV per cell. For the formation energy without anion corrections, the calculation gives -0.154 eV/f.u.

***

## ZnIn2Bi (PBE-GGA)

Data for a relaxed ZnIn2Bi crystal.

Lattice parameters (Å, degrees): 4.541 4.541 6.721 70.26 70.26 60.00
Element x y z (fractional)
In  0.265  0.265  0.205
In  0.067  0.067  0.800
Bi  0.502  0.502  0.494
Zn  0.666  0.666  0.001

As for the space group: R3m (160). The value obtained for the energy above the most stable polymorph in this dataset is 18 meV per atom. The total energy comes out at -10.26 eV per cell. The formation enthalpy at 0 K comes out at 0.0917 eV per atom. The density of states at the Fermi level is 1.3 states/eV per cell.

***

## Pm3Nd5N8 (PBE-GGA)

Data for a relaxed Pm3Nd5N8 crystal.

Lattice parameters (Å, degrees): 7.277 7.277 7.278 60.00 60.00 60.00
Element x y z (fractional)
N  0.751  0.751  0.748
N  0.250  0.752  0.748
N  0.750  0.248  0.252
N  0.250  0.250  0.748
N  0.249  0.249  0.252
N  0.752  0.250  0.748
N  0.750  0.750  0.252
N  0.248  0.750  0.252
Nd  0.500  0.000  0.000
Nd  0.000  0.500  0.000
Nd  0.500  0.500  0.500
Nd  0.000  0.000  0.000
Nd  0.500  0.500  0.000
Pm  0.000  0.000  0.500
Pm  0.500  0.000  0.500
Pm  0.000  0.500  0.500

As for the space group: R-3m (166). The total energy comes out at -126.87 eV per cell. The density of states at the Fermi level is 2.9 states/eV per cell. For the formation energy without anion corrections, the calculation gives -22.178 eV/f.u.

***

## TaSn2N (PBE-GGA)

Data for a relaxed TaSn2N crystal.

Lattice parameters (Å, degrees): 6.735 6.735 5.777 54.35 54.35 90.00
Element x y z (fractional)
Sn  0.375  0.450  0.750
Sn  0.200  0.625  0.250
Sn  0.550  0.125  0.250
Sn  0.875  0.800  0.750
N  0.500  0.500  0.000
N  0.250  0.750  0.500
Ta  0.750  0.250  0.500
Ta  0.000  0.000  0.000

As for the space group: I-42d (122). The total energy comes out at -50.58 eV per cell. The density of states at the Fermi level is 5.8 states/eV per cell. For the formation energy without anion corrections, the calculation gives 2.893 eV/f.u.

***

## LiTb2TaS6 (PBE-GGA)

Data for a relaxed LiTb2TaS6 crystal.

Lattice parameters (Å, degrees): 6.675 6.674 7.075 61.87 61.86 60.00
Element x y z (fractional)
S  0.576  0.209  0.247
S  0.968  0.576  0.247
S  0.698  0.110  0.760
S  0.432  0.698  0.760
S  0.110  0.432  0.760
S  0.209  0.968  0.247
Tb  0.520  0.520  0.439
Tb  0.018  0.018  0.946
Ta  0.323  0.323  0.031
Li  0.807  0.807  0.579

As for the space group: R3 (146). The total energy comes out at -62.97 eV per cell. The density of states at the Fermi level is 0.0 states/eV per cell. For the formation energy without anion corrections, the calculation gives -15.177 eV/f.u.

***

## TaFeP2 (PBE-GGA)

Data for a relaxed TaFeP2 crystal.

Lattice parameters (Å, degrees): 3.703 3.703 5.377 78.18 78.18 49.42
Element x y z (fractional)
Fe  0.250  0.250  0.250
Ta  0.750  0.750  0.750
P  0.992  0.992  0.051
P  0.508  0.508  0.449

As for the space group: C2/m (12). The value obtained for the energy above the most stable polymorph in this dataset is 243 meV per atom. The total energy comes out at -32.25 eV per cell. The formation enthalpy at 0 K comes out at -0.2780 eV per atom. The density of states at the Fermi level is 2.8 states/eV per cell.